Density functional theory data (PBE) for a relaxed NdGdScAu crystal.

a = 7.487 Å, b = 7.487 Å, c = 7.487 Å
α = 90.00°, β = 90.00°, γ = 90.00°
Space group F-43m (No. 216)
Unique sites:
Nd 0.000 0.000 0.000 [4 per cell]
Gd 0.000 0.000 0.500 [4 per cell]
Sc 0.250 0.250 0.250 [4 per cell]
Au 0.250 0.250 0.750 [4 per cell]


Density functional theory data (PBE) for a relaxed TmBiAu2O8 crystal.

a = 5.496 Å, b = 5.496 Å, c = 10.284 Å
α = 90.00°, β = 90.00°, γ = 90.00°
Space group I-4 (No. 82)
Unique sites:
Tm 0.000 0.000 0.000 [2 per cell]
Bi 0.000 0.500 0.250 [2 per cell]
Au 0.000 0.000 0.500 [2 per cell]
Au 0.000 0.500 0.750 [2 per cell]
O 0.134 0.330 0.458 [8 per cell]
O 0.141 0.827 0.796 [8 per cell]

Output
Uncorrected formation energy   -0.74 eV per atom


Density functional theory data (PBE) for a relaxed SrTeC crystal.

a = 11.223 Å, b = 3.521 Å, c = 7.143 Å
α = 90.00°, β = 90.19°, γ = 90.00°
Space group C2/m (No. 12)
Unique sites:
Sr 0.123 0.000 0.145 [4 per cell]
Te 0.154 0.000 0.663 [4 per cell]
C 0.119 0.500 0.850 [4 per cell]

Output
Uncorrected formation energy   0.35 eV per atom


no.,VASP energy (eV/atom)
1,-7.295
2,-5.283
3,-4.337